Entry 1:
Computed, not measured: a relaxed structure of TbNi4As2 at the GGA-PBEsol level of DFT.

Unit cell a=7.1483 b=7.1483 c=3.7329 alpha=90.00 beta=90.00 gamma=90.00
Space group P4_2/mnm (No. 136)
Asymmetric unit:
Tb 0.0000 0.0000 0.0000 x2
Ni 0.0887 0.3468 0.5000 x8
As 0.2182 0.7818 0.5000 x4

Summary:
- Energy of formation: -0.68 eV per atom

***

Entry 2:
Computed, not measured: a relaxed structure of PRhBr at the GGA-PBEsol level of DFT.

Unit cell a=2.9582 b=2.9582 c=12.0295 alpha=90.00 beta=90.00 gamma=90.00
Space group I4mm (No. 107)
Asymmetric unit:
P 0.0000 0.0000 0.0000 x2
Rh 0.0000 0.0000 0.4016 x2
Br 0.0000 0.0000 0.7255 x2

Summary:
- ΔE_f (raw): 0.046 eV per atom

***

Entry 3:
Computed, not measured: a relaxed structure of B2PtF at the GGA-PBEsol level of DFT.

Unit cell a=4.7540 b=4.7540 c=8.7866 alpha=90.00 beta=90.00 gamma=90.00
Space group I-42d (No. 122)
Asymmetric unit:
B 0.2467 0.2500 0.1250 x8
Pt 0.0000 0.0000 0.0000 x4
F 0.0000 0.0000 0.5000 x4

Summary:
- ΔE_f (raw): 0.260 eV per atom

***

Entry 4:
Computed, not measured: a relaxed structure of Ca4Zn2Cu3P5 at the GGA-PBEsol level of DFT.

Unit cell a=3.9837 b=3.9837 c=36.8240 alpha=90.00 beta=90.00 gamma=120.00
Space group P6_3/mmc (No. 194)
Asymmetric unit:
Ca 0.0000 0.0000 0.0913 x4
Ca 0.0000 0.0000 0.1969 x4
Zn 0.3333 0.6667 0.0244 x4
Cu 0.3333 0.6667 0.2500 x2
Cu 0.3333 0.6667 0.6434 x4
P 0.3333 0.6667 0.1441 x4
P 0.3333 0.6667 0.5436 x4
P 0.3333 0.6667 0.7500 x2

Summary:
- Energy of formation: -0.82 eV per atom

***

Entry 5:
Computed, not measured: a relaxed structure of Li2TmTl at the GGA-PBEsol level of DFT.

Unit cell a=6.6917 b=6.6917 c=6.6917 alpha=90.00 beta=90.00 gamma=90.00
Space group Fm-3m (No. 225)
Asymmetric unit:
Li 0.2500 0.2500 0.2500 x8
Tm 0.0000 0.0000 0.0000 x4
Tl 0.0000 0.0000 0.5000 x4

Summary:
- Energy of formation: -0.25 eV per atom

***

Entry 6:
Computed, not measured: a relaxed structure of Zn2SbW at the GGA-PBEsol level of DFT.

Unit cell a=3.6582 b=4.2210 c=8.3510 alpha=90.00 beta=90.00 gamma=90.00
Space group Imm2 (No. 44)
Asymmetric unit:
Zn 0.0000 0.0000 0.0000 x2
Zn 0.0000 0.5000 0.2684 x2
Sb 0.0000 0.5000 0.7574 x2
W 0.0000 0.0000 0.5163 x2

Summary:
- ΔE_f (raw): 0.364 eV per atom

***

Entry 7:
Computed, not measured: a relaxed structure of La3SiAgSe7 at the GGA-PBEsol level of DFT.

Unit cell a=10.7102 b=10.7102 c=6.0283 alpha=90.00 beta=90.00 gamma=120.00
Space group P6_3 (No. 173)
Asymmetric unit:
La 0.1258 0.7684 0.0000 x6
Si 0.3333 0.6667 0.4129 x2
Ag 0.0000 0.0000 0.0441 x2
Se 0.0937 0.8253 0.5121 x6
Se 0.1078 0.5220 0.2653 x6
Se 0.3333 0.6667 0.7876 x2

Summary:
- ΔE_f (raw): -1.454 eV per atom

***

Entry 8:
Computed, not measured: a relaxed structure of TaGa3C at the GGA-PBEsol level of DFT.

Unit cell a=4.1906 b=4.1906 c=4.1906 alpha=90.00 beta=90.00 gamma=90.00
Space group Pm-3m (No. 221)
Asymmetric unit:
Ta 0.0000 0.0000 0.0000 x1
Ga 0.0000 0.5000 0.5000 x3
C 0.5000 0.5000 0.5000 x1

Summary:
- E above lowest polymorph: 0 meV per atom
- Energy of formation: 0.96 eV per atom

***

Entry 9:
Computed, not measured: a relaxed structure of MgZn2In at the GGA-PBEsol level of DFT.

Unit cell a=3.0684 b=3.0684 c=7.8590 alpha=90.00 beta=90.00 gamma=90.00
Space group P4mm (No. 99)
Asymmetric unit:
Mg 0.0000 0.0000 0.0000 x1
Zn 0.0000 0.0000 0.4298 x1
Zn 0.5000 0.5000 0.2359 x1
In 0.5000 0.5000 0.6988 x1

Summary:
- Energy of formation: 0.01 eV per atom

***

Entry 10:
Computed, not measured: a relaxed structure of Nd2Al2Fe15 at the GGA-PBEsol level of DFT.

Unit cell a=8.2857 b=8.2857 c=12.3144 alpha=90.00 beta=90.00 gamma=120.00
Space group R-3m (No. 166, hexagonal axes)
Asymmetric unit:
Nd 0.0000 0.0000 0.1529 x6
Al 0.0000 0.0000 0.3983 x6
Fe 0.0000 0.2883 0.5000 x18
Fe 0.0000 0.5000 0.0000 x9
Fe 0.0016 0.5008 0.3395 x18

Summary:
- Energy of formation: -0.02 eV per atom

***

Entry 11:
Computed, not measured: a relaxed structure of TcNiIr2 at the GGA-PBEsol level of DFT.

Unit cell a=2.6849 b=2.6849 c=7.3036 alpha=90.00 beta=90.00 gamma=90.00
Space group P4/mmm (No. 123)
Asymmetric unit:
Tc 0.0000 0.0000 0.0000 x1
Ni 0.0000 0.0000 0.5000 x1
Ir 0.5000 0.5000 0.2562 x2

Summary:
- E above lowest polymorph: 25 meV per atom
- Energy of formation: -0.10 eV per atom

***

Entry 12:
Computed, not measured: a relaxed structure of ZrSc at the GGA-PBEsol level of DFT.

Unit cell a=11.6506 b=3.2111 c=7.4851 alpha=90.00 beta=103.26 gamma=90.00
Space group Cm (No. 8)
Asymmetric unit:
Zr 0.0000 0.0000 0.0000 x2
Zr 0.0499 0.0000 0.6113 x2
Zr 0.3921 0.0000 0.2789 x2
Sc 0.1646 0.5000 0.3329 x2
Sc 0.2213 0.5000 0.9479 x2
Sc 0.3337 0.0000 0.6676 x2

Summary:
- Energy of formation: -0.01 eV per atom

***

no.,total DFT energy (no corrections) (eV/atom)
1,-6.37
2,-5.22
3,-5.47
4,-4.66
5,-3.11
6,-5.02
7,-5.79
8,-5.49
9,-1.95
10,-8.08
11,-9.37
12,-7.86